{"formula": "K2Zr2PdS6", "functional": "PBE", "state": "optimized geometry", "lattice_angstrom": [[3.233, -5.591, 0.000], [3.233, 5.591, 0.000], [-1.987, 0.000, 7.566]], "species": ["K", "K", "Zr", "Zr", "Pd", "S", "S", "S", "S", "S", "S"], "frac_coords": [[0.159, 0.841, 0.000], [0.841, 0.159, 0.000], [0.324, 0.676, 0.500], [0.676, 0.324, 0.500], [0.000, 0.000, 0.500], [0.077, 0.417, 0.700], [0.260, 0.260, 0.328], [0.417, 0.077, 0.700], [0.583, 0.923, 0.300], [0.740, 0.740, 0.672], [0.923, 0.583, 0.300]], "e_form_raw_mev_per_atom": -1214, "space_group": "No. 12"}